# LiNd2Rh2 | Alexandria | PBE | optimized geometry
data_LiNd2Rh2
_chemical_formula_sum 'Li2 Nd4 Rh4'
_cell_length_a 4.177
_cell_length_b 6.050
_cell_length_c 8.454
_cell_angle_alpha 90.00
_cell_angle_beta 90.00
_cell_angle_gamma 90.00
_space_group_name_H-M_alt 'I m m m'
_space_group_IT_number 71
_space_group_name_Hall '-I 2 2'
loop_
_atom_site_label
_atom_site_type_symbol
_atom_site_fract_x
_atom_site_fract_y
_atom_site_fract_z
Li1 Li 0.000 0.000 0.000
Nd1 Nd 0.000 0.500 0.203
Rh1 Rh 0.000 0.235 0.500
# DOS(E_F): 6.20 states/eV/cell
# ΔE_f: -0.56 eV/atom

=====

# Li4NdRh | Alexandria | PBE | optimized geometry
data_Li4NdRh
_chemical_formula_sum 'Li16 Nd4 Rh4'
_cell_length_a 7.452
_cell_length_b 7.452
_cell_length_c 7.452
_cell_angle_alpha 90.00
_cell_angle_beta 90.00
_cell_angle_gamma 90.00
_space_group_name_H-M_alt 'F -4 3 m'
_space_group_IT_number 216
_space_group_name_Hall 'F -4 2 3'
loop_
_atom_site_label
_atom_site_type_symbol
_atom_site_fract_x
_atom_site_fract_y
_atom_site_fract_z
Li1 Li 0.121 0.121 0.379
Nd1 Nd 0.000 0.000 0.000
Rh1 Rh 0.250 0.250 0.750
# DOS(E_F): 24.23 states/eV/cell
# ΔE_f: -0.01 eV/atom

=====

# LiNd3Rh3 | Alexandria | PBE | optimized geometry
data_LiNd3Rh3
_chemical_formula_sum 'Li4 Nd12 Rh12'
_cell_length_a 4.122
_cell_length_b 10.549
_cell_length_c 14.091
_cell_angle_alpha 90.00
_cell_angle_beta 90.00
_cell_angle_gamma 90.00
_space_group_name_H-M_alt 'C m c m'
_space_group_IT_number 63
_space_group_name_Hall '-C 2c 2'
loop_
_atom_site_label
_atom_site_type_symbol
_atom_site_fract_x
_atom_site_fract_y
_atom_site_fract_z
Li1 Li 0.000 0.000 0.000
Nd1 Nd 0.000 0.028 0.250
Nd2 Nd 0.000 0.303 0.103
Rh1 Rh 0.000 0.248 0.750
Rh2 Rh 0.000 0.409 0.590
# DOS(E_F): 18.12 states/eV/cell
# ΔE_f: -0.59 eV/atom

=====

# LiNd4Rh2 | Alexandria | PBE | optimized geometry
data_LiNd4Rh2
_chemical_formula_sum 'Li2 Nd8 Rh4'
_cell_length_a 7.234
_cell_length_b 7.266
_cell_length_c 8.254
_cell_angle_alpha 108.69
_cell_angle_beta 108.72
_cell_angle_gamma 100.49
_space_group_name_H-M_alt 'P 1'
_space_group_IT_number 1
loop_
_space_group_symop_operation_xyz
'x,y,z'
loop_
_atom_site_label
_atom_site_type_symbol
_atom_site_fract_x
_atom_site_fract_y
_atom_site_fract_z
Li1 Li 0.000 0.000 0.000
Li2 Li 0.104 0.898 0.507
Nd1 Nd 0.224 0.681 0.170
Nd2 Nd 0.349 0.282 0.851
Nd3 Nd 0.382 0.248 0.349
Nd4 Nd 0.450 0.698 0.696
Nd5 Nd 0.722 0.849 0.189
Nd6 Nd 0.777 0.120 0.666
Nd7 Nd 0.802 0.346 0.195
Nd8 Nd 0.952 0.616 0.689
Rh1 Rh 0.058 0.262 0.500
Rh2 Rh 0.366 0.957 0.000
Rh3 Rh 0.614 0.647 0.398
Rh4 Rh 0.750 0.510 0.899
# DOS(E_F): 13.47 states/eV/cell
# ΔE_f: -0.40 eV/atom

=====

# Li3NdRh2 | Alexandria | PBE | optimized geometry
data_Li3NdRh2
_chemical_formula_sum 'Li12 Nd4 Rh8'
_cell_length_a 13.407
_cell_length_b 4.239
_cell_length_c 8.196
_cell_angle_alpha 90.00
_cell_angle_beta 116.84
_cell_angle_gamma 90.00
_space_group_name_H-M_alt 'C 1 2/m 1'
_space_group_IT_number 12
loop_
_space_group_symop_operation_xyz
'x,y,z'
'-x,-y,-z'
'-x,y,-z'
'x,-y,z'
'x+1/2,y+1/2,z'
'-x+1/2,-y+1/2,-z'
'-x+1/2,y+1/2,-z'
'x+1/2,-y+1/2,z'
loop_
_atom_site_label
_atom_site_type_symbol
_atom_site_fract_x
_atom_site_fract_y
_atom_site_fract_z
Li1 Li 0.059 0.000 0.383
Li2 Li 0.079 0.500 0.678
Li3 Li 0.219 0.500 0.541
Nd1 Nd 0.142 0.000 0.022
Rh1 Rh 0.067 0.500 0.181
Rh2 Rh 0.211 0.000 0.734
# DOS(E_F): 11.42 states/eV/cell
# ΔE_f: -0.29 eV/atom

=====

# LiNdRh | Alexandria | PBE | optimized geometry
data_LiNdRh
_chemical_formula_sum 'Li1 Nd1 Rh1'
_cell_length_a 4.3868
_cell_length_b 4.3868
_cell_length_c 3.6568
_cell_angle_alpha 90.00
_cell_angle_beta 90.00
_cell_angle_gamma 120.00
_space_group_name_H-M_alt 'P -6 m 2'
_space_group_IT_number 187
_space_group_name_Hall 'P -6 2'
loop_
_atom_site_label
_atom_site_type_symbol
_atom_site_fract_x
_atom_site_fract_y
_atom_site_fract_z
Li1 Li 0.0000 0.0000 0.0000
Nd1 Nd 0.3333 0.6667 0.5000
Rh1 Rh 0.6667 0.3333 0.0000
# DOS(E_F): 1.24 states/eV/cell
# ΔE_f: -0.34 eV/atom